No. 1
# ScPb3O

A geometry-optimized ScPb3O structure (PBE, Alexandria).

abc: 5.627 5.627 5.627
angles: 90.00 90.00 90.00
Fractional coordinates of all 5 atoms:
Pb (0.500, 0.000, 0.000)
O (0.500, 0.500, 0.500)
Pb (0.000, 0.500, 0.000)
Pb (0.000, 0.000, 0.500)
Sc (0.000, 0.000, 0.000)

Properties
Formation energy from raw total energies   776 meV/atom
Distance to the lowest polymorph of the same formula   1.068 eV/atom
Calculated total energy   -3.7071 eV per atom
Magnetization   0.0 μB per formula unit

No. 2
# ScPbO2

A geometry-optimized ScPbO2 structure (PBE, Alexandria).

abc: 5.526 5.526 6.262
angles: 63.82 63.82 90.00
Fractional coordinates of all 8 atoms:
Pb (0.000, 0.000, 0.000)
Pb (0.750, 0.250, 0.500)
O (0.875, 0.766, 0.750)
O (0.516, 0.125, 0.250)
Sc (0.500, 0.500, 0.000)
O (0.234, 0.625, 0.250)
Sc (0.250, 0.750, 0.500)
O (0.375, 0.484, 0.750)

Properties
Formation energy from raw total energies   -2114 meV/atom
Calculated total energy   -7.1028 eV per atom
Magnetization   0.0 μB per formula unit

No. 3
# Sc3Pb2O

A geometry-optimized Sc3Pb2O structure (PBE, Alexandria).

abc: 6.002 6.660 6.660
angles: 103.44 90.00 90.00
Fractional coordinates of all 12 atoms:
Sc (0.000, 0.854, 0.146)
Sc (0.500, 0.146, 0.854)
Sc (0.000, 0.146, 0.854)
Sc (0.750, 0.672, 0.672)
O (0.750, 0.931, 0.931)
Pb (0.750, 0.169, 0.470)
Sc (0.500, 0.854, 0.146)
O (0.250, 0.069, 0.069)
Pb (0.750, 0.470, 0.169)
Pb (0.250, 0.530, 0.831)
Pb (0.250, 0.831, 0.530)
Sc (0.250, 0.328, 0.328)

Properties
Formation energy from raw total energies   -1153 meV/atom
Calculated total energy   -6.3810 eV per atom
Magnetization   0.0 μB per formula unit

No. 4
# Sc2Pb2O

A geometry-optimized Sc2Pb2O structure (PBE, Alexandria).

abc: 3.536 6.493 9.875
angles: 90.00 100.31 90.00
Fractional coordinates of all 10 atoms:
Pb (0.743, 0.391, 0.486)
Pb (0.895, 0.623, 0.790)
O (0.431, 0.125, 0.862)
Pb (0.257, 0.891, 0.514)
Sc (0.501, 0.373, 0.002)
Sc (0.875, 0.121, 0.749)
Pb (0.105, 0.123, 0.210)
Sc (0.125, 0.621, 0.251)
O (0.569, 0.625, 0.138)
Sc (0.499, 0.873, 0.998)

Properties
Formation energy from raw total energies   -1370 meV/atom
Calculated total energy   -6.3781 eV per atom
Magnetization   0.0 μB per formula unit